Material: PuMnAl
Method: DFT, PBE-GGA
State: optimized geometry

uncorrected energy	-9.147	eV/atom
ΔH_f (0 K)	-0.07	eV per atom
SG	I4/mmm, No. 139
total magnetization	1.09	μB/atom

a b c (Å): 7.723 7.723 7.723
angles (deg): 150.71 150.71 41.90
Sites, in units of the cell vectors:
Pu  0.178  0.178  0.000
Pu  0.822  0.822  0.000
Mn  0.380  0.380  0.000
Mn  0.620  0.620  0.000
Al  0.000  0.500  0.500
Al  0.500  0.000  0.500